Version w
Entry from Alexandria: InBTeN2 after structural relaxation (PBE).

```
data_InBTeN2
_symmetry_space_group_name_H-M 'P 1'
_symmetry_Int_Tables_number 1
_cell_length_a 3.7652
_cell_length_b 3.7652
_cell_length_c 5.2994
_cell_angle_alpha 90.00
_cell_angle_beta 90.00
_cell_angle_gamma 90.00
loop_
_symmetry_equiv_pos_as_xyz
'x,y,z'
loop_
_atom_site_label
_atom_site_fract_x
_atom_site_fract_y
_atom_site_fract_z
N1 0.5000 0.0000 0.0000
N2 0.0000 0.5000 0.0000
Te1 0.0000 0.0000 0.5000
B1 0.0000 0.0000 0.0000
In1 0.5000 0.5000 0.5000
```

=====

Version x
Entry from Alexandria: InBTeN2 after structural relaxation (PBE).

```
data_InBTeN2
_symmetry_space_group_name_H-M 'P 1'
_symmetry_Int_Tables_number 1
_cell_length_a 4.1578
_cell_length_b 4.1578
_cell_length_c 6.6913
_cell_angle_alpha 90.00
_cell_angle_beta 90.00
_cell_angle_gamma 90.00
loop_
_symmetry_equiv_pos_as_xyz
'x,y,z'
loop_
_atom_site_label
_atom_site_fract_x
_atom_site_fract_y
_atom_site_fract_z
In1 0.0000 0.0000 0.0000
B1 0.5000 0.5000 0.5000
N1 0.0000 0.5000 0.0000
N2 0.5000 0.0000 0.0000
Te1 0.0000 0.0000 0.5000
```

=====

Most stable: version w (next structure +435 meV per atom)

=====

Version w
Entry from Alexandria: InBTe2N after structural relaxation (PBE).

```
data_InBTe2N
_symmetry_space_group_name_H-M 'P 1'
_symmetry_Int_Tables_number 1
_cell_length_a 6.7098
_cell_length_b 6.7098
_cell_length_c 2.7735
_cell_angle_alpha 90.00
_cell_angle_beta 90.00
_cell_angle_gamma 90.00
loop_
_symmetry_equiv_pos_as_xyz
'x,y,z'
loop_
_atom_site_label
_atom_site_fract_x
_atom_site_fract_y
_atom_site_fract_z
Te1 0.5000 0.0000 0.0000
Te2 0.0000 0.5000 0.0000
N1 0.0000 0.0000 0.5000
In1 0.5000 0.5000 0.5000
B1 0.0000 0.0000 0.0000
```

=====

Version x
Entry from Alexandria: InBTe2N after structural relaxation (PBE).

```
data_InBTe2N
_symmetry_space_group_name_H-M 'P 1'
_symmetry_Int_Tables_number 1
_cell_length_a 5.6194
_cell_length_b 5.6194
_cell_length_c 4.0587
_cell_angle_alpha 90.00
_cell_angle_beta 90.00
_cell_angle_gamma 90.00
loop_
_symmetry_equiv_pos_as_xyz
'x,y,z'
loop_
_atom_site_label
_atom_site_fract_x
_atom_site_fract_y
_atom_site_fract_z
In1 0.0000 0.0000 0.0000
N1 0.0000 0.0000 0.5000
B1 0.5000 0.5000 0.5000
Te1 0.5000 0.0000 0.0000
Te2 0.0000 0.5000 0.0000
```

=====

Most stable: version w (next structure +1710 meV per atom)

=====

Version w
Entry from Alexandria: Na2InB2 after structural relaxation (PBE).

```
data_Na2InB2
_symmetry_space_group_name_H-M 'P 1'
_symmetry_Int_Tables_number 1
_cell_length_a 6.0556
_cell_length_b 6.0556
_cell_length_c 4.5742
_cell_angle_alpha 90.00
_cell_angle_beta 90.00
_cell_angle_gamma 90.00
loop_
_symmetry_equiv_pos_as_xyz
'x,y,z'
loop_
_atom_site_label
_atom_site_fract_x
_atom_site_fract_y
_atom_site_fract_z
Na1 0.1786 0.6786 0.5000
Na2 0.6786 0.8214 0.5000
Na3 0.8214 0.3214 0.5000
Na4 0.3214 0.1786 0.5000
B1 0.4059 0.9059 0.0000
B2 0.5941 0.0941 0.0000
B3 0.9059 0.5941 0.0000
B4 0.0941 0.4059 0.0000
In1 0.5000 0.5000 0.0000
In2 0.0000 0.0000 0.0000
```

=====

Version x
Entry from Alexandria: Na2InB2 after structural relaxation (PBE).

```
data_Na2InB2
_symmetry_space_group_name_H-M 'P 1'
_symmetry_Int_Tables_number 1
_cell_length_a 3.8951
_cell_length_b 3.8951
_cell_length_c 6.2451
_cell_angle_alpha 71.83
_cell_angle_beta 71.83
_cell_angle_gamma 90.00
loop_
_symmetry_equiv_pos_as_xyz
'x,y,z'
loop_
_atom_site_label
_atom_site_fract_x
_atom_site_fract_y
_atom_site_fract_z
B1 0.5706 0.5706 0.8588
B2 0.4294 0.4294 0.1412
In1 0.0000 0.0000 0.0000
Na1 0.7500 0.2500 0.5000
Na2 0.2500 0.7500 0.5000
```

=====

Most stable: version w (next structure +174 meV per atom)

=====

Version w
Entry from Alexandria: Na2InB after structural relaxation (PBE).

```
data_Na2InB
_symmetry_space_group_name_H-M 'P 1'
_symmetry_Int_Tables_number 1
_cell_length_a 4.9255
_cell_length_b 4.9255
_cell_length_c 4.9255
_cell_angle_alpha 60.00
_cell_angle_beta 60.00
_cell_angle_gamma 60.00
loop_
_symmetry_equiv_pos_as_xyz
'x,y,z'
loop_
_atom_site_label
_atom_site_fract_x
_atom_site_fract_y
_atom_site_fract_z
Na1 0.2500 0.2500 0.2500
Na2 0.7500 0.7500 0.7500
B1 0.0000 0.0000 0.0000
In1 0.5000 0.5000 0.5000
```

=====

Version x
Entry from Alexandria: Na2InB after structural relaxation (PBE).

```
data_Na2InB
_symmetry_space_group_name_H-M 'P 1'
_symmetry_Int_Tables_number 1
_cell_length_a 3.9854
_cell_length_b 3.9854
_cell_length_c 10.8542
_cell_angle_alpha 79.42
_cell_angle_beta 79.42
_cell_angle_gamma 90.00
loop_
_symmetry_equiv_pos_as_xyz
'x,y,z'
loop_
_atom_site_label
_atom_site_fract_x
_atom_site_fract_y
_atom_site_fract_z
Na1 0.8750 0.8478 0.7500
Na2 0.5978 0.1250 0.2500
Na3 0.3750 0.4022 0.7500
Na4 0.1522 0.6250 0.2500
In1 0.7500 0.2500 0.5000
In2 0.0000 0.0000 0.0000
B1 0.5000 0.5000 0.0000
B2 0.2500 0.7500 0.5000
```

=====

Most stable: version w (next structure +10 meV per atom)

=====

Version w
Entry from Alexandria: Nb2InB2 after structural relaxation (PBE).

```
data_Nb2InB2
_symmetry_space_group_name_H-M 'P 1'
_symmetry_Int_Tables_number 1
_cell_length_a 3.9110
_cell_length_b 3.9110
_cell_length_c 5.5366
_cell_angle_alpha 69.32
_cell_angle_beta 69.32
_cell_angle_gamma 90.00
loop_
_symmetry_equiv_pos_as_xyz
'x,y,z'
loop_
_atom_site_label
_atom_site_fract_x
_atom_site_fract_y
_atom_site_fract_z
Nb1 0.7500 0.2500 0.5000
Nb2 0.2500 0.7500 0.5000
In1 0.0000 0.0000 0.0000
B1 0.5867 0.5867 0.8266
B2 0.4133 0.4133 0.1734
```

=====

Version x
Entry from Alexandria: Nb2InB2 after structural relaxation (PBE).

```
data_Nb2InB2
_symmetry_space_group_name_H-M 'P 1'
_symmetry_Int_Tables_number 1
_cell_length_a 6.2267
_cell_length_b 6.2267
_cell_length_c 3.4490
_cell_angle_alpha 90.00
_cell_angle_beta 90.00
_cell_angle_gamma 90.00
loop_
_symmetry_equiv_pos_as_xyz
'x,y,z'
loop_
_atom_site_label
_atom_site_fract_x
_atom_site_fract_y
_atom_site_fract_z
B1 0.0982 0.4018 0.0000
B2 0.9018 0.5982 0.0000
B3 0.4018 0.9018 0.0000
B4 0.5982 0.0982 0.0000
In1 0.5000 0.5000 0.0000
In2 0.0000 0.0000 0.0000
Nb1 0.1685 0.6685 0.5000
Nb2 0.3315 0.1685 0.5000
Nb3 0.8315 0.3315 0.5000
Nb4 0.6685 0.8315 0.5000
```

=====

Most stable: version x (next structure +350 meV per atom)

=====

Version w
Entry from Alexandria: Zr2NbInB after structural relaxation (PBE).

```
data_Zr2NbInB
_symmetry_space_group_name_H-M 'P 1'
_symmetry_Int_Tables_number 1
_cell_length_a 4.6717
_cell_length_b 4.6717
_cell_length_c 4.4223
_cell_angle_alpha 90.00
_cell_angle_beta 90.00
_cell_angle_gamma 90.00
loop_
_symmetry_equiv_pos_as_xyz
'x,y,z'
loop_
_atom_site_label
_atom_site_fract_x
_atom_site_fract_y
_atom_site_fract_z
Nb1 0.0000 0.0000 0.5000
In1 0.5000 0.5000 0.5000
Zr1 0.5000 0.0000 0.0000
Zr2 0.0000 0.5000 0.0000
B1 0.0000 0.0000 0.0000
```

=====

Version x
Entry from Alexandria: Zr2NbInB after structural relaxation (PBE).

```
data_Zr2NbInB
_symmetry_space_group_name_H-M 'P 1'
_symmetry_Int_Tables_number 1
_cell_length_a 5.2143
_cell_length_b 5.0309
_cell_length_c 5.2143
_cell_angle_alpha 90.00
_cell_angle_beta 90.00
_cell_angle_gamma 90.00
loop_
_symmetry_equiv_pos_as_xyz
'x,y,z'
loop_
_atom_site_label
_atom_site_fract_x
_atom_site_fract_y
_atom_site_fract_z
Nb1 0.0000 0.5000 0.0000
Zr1 0.5000 0.0000 0.0000
Zr2 0.0000 0.0000 0.5000
B1 0.5000 0.5000 0.5000
In1 0.0000 0.0000 0.0000
```

=====

Most stable: version w (next structure +2438 meV per atom)

=====

Version w
Entry from Alexandria: InNiB3 after structural relaxation (PBE).

```
data_InNiB3
_symmetry_space_group_name_H-M 'P 1'
_symmetry_Int_Tables_number 1
_cell_length_a 4.3997
_cell_length_b 4.3997
_cell_length_c 4.3997
_cell_angle_alpha 90.00
_cell_angle_beta 90.00
_cell_angle_gamma 90.00
loop_
_symmetry_equiv_pos_as_xyz
'x,y,z'
loop_
_atom_site_label
_atom_site_fract_x
_atom_site_fract_y
_atom_site_fract_z
B1 0.0000 0.5000 0.0000
B2 0.0000 0.0000 0.5000
B3 0.5000 0.0000 0.0000
Ni1 0.5000 0.5000 0.5000
In1 0.0000 0.0000 0.0000
```

=====

Version x
Entry from Alexandria: InNiB3 after structural relaxation (PBE).

```
data_InNiB3
_symmetry_space_group_name_H-M 'P 1'
_symmetry_Int_Tables_number 1
_cell_length_a 3.9546
_cell_length_b 3.9546
_cell_length_c 3.9546
_cell_angle_alpha 90.00
_cell_angle_beta 90.00
_cell_angle_gamma 90.00
loop_
_symmetry_equiv_pos_as_xyz
'x,y,z'
loop_
_atom_site_label
_atom_site_fract_x
_atom_site_fract_y
_atom_site_fract_z
In1 0.5000 0.5000 0.5000
Ni1 0.0000 0.0000 0.0000
B1 0.0000 0.0000 0.5000
B2 0.5000 0.0000 0.0000
B3 0.0000 0.5000 0.0000
```

=====

Most stable: version x (next structure +1463 meV per atom)